Entry 1:
A geometry-optimized CrSbI2 structure. Source: Alexandria, functional PBE-GGA.

formation energy (no corrections) = 875 meV/atom
space-group type = I-42d (122)

a = 7.325 Å, b = 7.325 Å, c = 7.152 Å
α = 59.20°, β = 59.20°, γ = 90.00°
Sites, in units of the cell vectors:
Sb 0.000 0.000 0.000
Sb 0.750 0.250 0.500
I 0.210 0.625 0.250
I 0.875 0.790 0.750
I 0.540 0.125 0.250
I 0.375 0.460 0.750
Cr 0.250 0.750 0.500
Cr 0.500 0.500 0.000

Entry 2:
A geometry-optimized KRb2In2Te4 structure. Source: Alexandria, functional PBE-GGA.

formation energy (no corrections) = -731 meV/atom
space-group type = C2/m (12)

a = 5.121 Å, b = 9.583 Å, c = 8.574 Å
α = 108.10°, β = 90.00°, γ = 105.50°
Sites, in units of the cell vectors:
In 0.329 0.659 0.007
In 0.671 0.341 0.993
Te 0.468 0.936 0.263
Te 0.210 0.421 0.178
Te 0.532 0.064 0.737
Te 0.790 0.579 0.822
Rb 0.121 0.242 0.541
Rb 0.879 0.758 0.459
K 0.000 0.000 0.000

Entry 3:
A geometry-optimized Ce3TiAlS7 structure. Source: Alexandria, functional PBE-GGA.

formation energy (no corrections) = -1729 meV/atom
space-group type = P6_3 (173)

a = 9.951 Å, b = 9.951 Å, c = 6.189 Å
α = 90.00°, β = 90.00°, γ = 120.00°
Site moments in Bohr magnetons follow the coordinates.
Sites, in units of the cell vectors:
Ce 0.774 0.150 0.730  1.00
Ce 0.624 0.774 0.230  1.00
Ce 0.850 0.624 0.730  1.00
Ce 0.150 0.376 0.230  1.00
Ce 0.226 0.850 0.230  1.00
Ce 0.376 0.226 0.730  1.00
S 0.769 0.864 0.810  -0.03
S 0.521 0.095 0.007  -0.01
S 0.905 0.769 0.310  -0.03
S 0.136 0.905 0.810  -0.03
S 0.479 0.905 0.507  -0.01
S 0.231 0.136 0.310  -0.03
S 0.333 0.667 0.014  -0.02
S 0.864 0.095 0.310  -0.03
S 0.574 0.479 0.007  -0.01
S 0.905 0.426 0.007  -0.01
S 0.095 0.574 0.507  -0.01
S 0.667 0.333 0.514  -0.02
S 0.095 0.231 0.810  -0.03
S 0.426 0.521 0.507  -0.01
Ti 0.000 0.000 0.560  0.86
Ti 0.000 0.000 0.060  0.86
Al 0.333 0.667 0.653  0.00
Al 0.667 0.333 0.153  0.00

Entry 4:
A geometry-optimized ZnMo structure. Source: Alexandria, functional PBE-GGA.

energy of formation = 0.48 eV per formula unit
space-group type = I4/mmm (139)

a = 8.252 Å, b = 8.252 Å, c = 3.729 Å
α = 90.00°, β = 90.00°, γ = 90.00°
Sites, in units of the cell vectors:
Zn 0.332 0.000 0.500
Zn 0.168 0.500 0.000
Zn 0.668 0.000 0.500
Zn 0.832 0.500 0.000
Zn 0.000 0.668 0.500
Zn 0.500 0.168 0.000
Zn 0.000 0.332 0.500
Zn 0.500 0.832 0.000
Mo 0.838 0.162 0.000
Mo 0.662 0.338 0.500
Mo 0.162 0.162 0.000
Mo 0.338 0.662 0.500
Mo 0.662 0.662 0.500
Mo 0.838 0.838 0.000
Mo 0.162 0.838 0.000
Mo 0.338 0.338 0.500

Entry 5:
A geometry-optimized Sc2Ti3N2 structure. Source: Alexandria, functional PBE-GGA.

formation energy (no corrections) = -778 meV/atom
space-group type = C2/m (12)

a = 3.011 Å, b = 5.528 Å, c = 7.767 Å
α = 124.10°, β = 90.00°, γ = 105.80°
Site moments in Bohr magnetons follow the coordinates.
Sites, in units of the cell vectors:
Ti 0.378 0.757 0.593  -0.02
Ti 0.500 0.000 0.000  0.53
Ti 0.622 0.243 0.407  -0.02
N 0.830 0.659 0.744  -0.01
N 0.170 0.341 0.256  -0.01
Sc 0.816 0.632 0.229  0.06
Sc 0.184 0.368 0.771  0.06

Entry 6:
A geometry-optimized Cd2HgAs structure. Source: Alexandria, functional PBE-GGA.

energy of formation = 0.52 eV per formula unit
space-group type = I-4m2 (119)

a = 5.690 Å, b = 5.690 Å, c = 5.690 Å
α = 135.36°, β = 135.36°, γ = 64.97°
Sites, in units of the cell vectors:
Cd 0.250 0.750 0.500
Cd 0.000 0.000 0.000
As 0.750 0.250 0.500
Hg 0.500 0.500 0.000

no.,theoretical density (g/cm3),V (Å³/cell)
1,5.37,265
2,4.11,384
3,4.50,531
4,8.44,254
5,4.30,101
6,9.27,90